Arrangement w

DFT (PBE-GGA) results for crystalline ZnAs2Cl at its relaxed geometry.

a = 3.3017 Å, b = 3.3017 Å, c = 7.2137 Å
α = 90.00°, β = 90.00°, γ = 90.00°
Last column: nearest neighbours and their distance in Å.
Fractional coordinates of all 4 atoms:
Zn  0.0000  0.0000  0.0000  8 As 2.73
As  0.5000  0.5000  0.1968  4 Zn 2.73, 1 As 2.84
As  0.5000  0.5000  0.8032  4 Zn 2.73, 1 As 2.84
Cl  0.0000  0.0000  0.5000  8 As 3.20, 4 Cl 3.30

Computed properties:
Size of the total moment ... 0.00 μB/f.u.
Volume ... 78.6 Å³ per cell

Arrangement x

DFT (PBE-GGA) results for crystalline ZnAs2Cl at its relaxed geometry.

a = 4.7511 Å, b = 4.7511 Å, c = 4.7511 Å
α = 119.88°, β = 119.88°, γ = 90.21°
Last column: nearest neighbours and their distance in Å.
Fractional coordinates of all 4 atoms:
Zn  0.0000  0.0000  0.0000  4 As 2.91, 4 Cl 2.91
As  0.5000  0.5000  0.0000  4 As 2.91, 4 Cl 2.91
As  0.7500  0.2500  0.5000  4 As 2.91, 4 Zn 2.91
Cl  0.2500  0.7500  0.5000  4 As 2.91, 4 Zn 2.91

Computed properties:
Size of the total moment ... 0.00 μB/f.u.
Volume ... 76.0 Å³ per cell

Ranking the structures above by stability puts arrangement w first and arrangement x last.